! RbFeN2F, relaxed, DFT PBE+U; values from VASP
&SYSTEM
  ibrav = 0, nat = 5, ntyp = 4
/
ATOMIC_SPECIES
Rb 85.47 Rb.upf
Fe 55.84 Fe.upf
N 14.01 N.upf
F 19.00 F.upf
ATOMIC_POSITIONS crystal
Rb 0.000 0.000 0.000
Fe 0.500 0.500 0.500
N 0.000 0.500 0.000
N 0.500 0.000 0.000
F 0.000 0.000 0.500
CELL_PARAMETERS angstrom
5.644 0.000 0.000
0.000 5.644 0.000
0.000 0.000 5.062
! DFT total energy	-16.55	eV for the cell shown
! Fermi-level density of states	0.44	states/eV/f.u.
! space group	P4/mmm (123)